! Nd8HoTh2 (GGA-PBE, optimized geometry); values from VASP
! E_form ... 2.154 eV/f.u.
! M_tot ... 0.00 μB per cell
! Space-group type ... C2/m
&SYSTEM
  ibrav = 0, nat = 11, ntyp = 3
/
ATOMIC_SPECIES
Nd 144.24 Nd.upf
Ho 164.93 Ho.upf
Th 232.04 Th.upf
CELL_PARAMETERS angstrom
4.562 -8.283 0.000
4.562 8.283 0.000
-3.323 0.000 5.073
ATOMIC_POSITIONS crystal
Nd 0.100 0.333 0.677
Nd 0.207 0.793 0.000
Nd 0.333 0.100 0.677
Nd 0.419 0.419 0.206
Nd 0.581 0.581 0.794
Nd 0.667 0.900 0.323
Nd 0.793 0.207 0.000
Nd 0.900 0.667 0.323
Ho 0.000 0.000 0.000
Th 0.307 0.693 0.500
Th 0.693 0.307 0.500


! Nd8Ho3Th (GGA-PBE, optimized geometry); values from VASP
! E_form ... 2.448 eV/f.u.
! M_tot ... 0.00 μB per cell
! Space-group type ... C2
&SYSTEM
  ibrav = 0, nat = 12, ntyp = 3
/
ATOMIC_SPECIES
Nd 144.24 Nd.upf
Ho 164.93 Ho.upf
Th 232.04 Th.upf
CELL_PARAMETERS angstrom
4.956 -6.755 0.000
4.956 6.755 0.000
-1.638 0.000 6.161
ATOMIC_POSITIONS crystal
Nd 0.034 0.336 0.957
Nd 0.075 0.075 0.303
Nd 0.377 0.471 0.697
Nd 0.420 0.211 0.045
Nd 0.529 0.623 0.303
Nd 0.664 0.966 0.043
Nd 0.789 0.580 0.955
Nd 0.925 0.925 0.697
Ho 0.055 0.602 0.438
Ho 0.398 0.945 0.562
Ho 0.728 0.272 0.500
Th 0.227 0.773 0.000


! NdHo7Th3 (GGA-PBE, optimized geometry); values from VASP
! E_form ... 2.370 eV/f.u.
! M_tot ... 0.00 μB per cell
! Space-group type ... P3m1
&SYSTEM
  ibrav = 0, nat = 11, ntyp = 3
/
ATOMIC_SPECIES
Nd 144.24 Nd.upf
Ho 164.93 Ho.upf
Th 232.04 Th.upf
CELL_PARAMETERS angstrom
7.060 0.000 0.000
-3.530 6.115 0.000
0.000 0.000 8.556
ATOMIC_POSITIONS crystal
Nd 0.000 0.000 0.000
Ho 0.003 0.501 0.004
Ho 0.332 0.166 0.342
Ho 0.333 0.667 0.343
Ho 0.499 0.501 0.004
Ho 0.499 0.997 0.004
Ho 0.834 0.166 0.342
Ho 0.834 0.668 0.342
Th 0.168 0.336 0.671
Th 0.168 0.832 0.671
Th 0.664 0.832 0.671


! Nd4Ho5Th (GGA-PBE, optimized geometry); values from VASP
! E_form ... 0.236 eV/f.u.
! M_tot ... 0.00 μB per cell
! Space-group type ... C2/m
&SYSTEM
  ibrav = 0, nat = 10, ntyp = 3
/
ATOMIC_SPECIES
Nd 144.24 Nd.upf
Ho 164.93 Ho.upf
Th 232.04 Th.upf
CELL_PARAMETERS angstrom
12.812 -1.808 0.000
12.812 1.808 0.000
-0.976 0.000 7.081
ATOMIC_POSITIONS crystal
Nd 0.098 0.098 0.299
Nd 0.300 0.300 0.899
Nd 0.700 0.700 0.101
Nd 0.902 0.902 0.701
Ho 0.097 0.097 0.802
Ho 0.300 0.300 0.398
Ho 0.500 0.500 0.500
Ho 0.700 0.700 0.602
Ho 0.903 0.903 0.198
Th 0.500 0.500 0.000